<a>
DFT (PBE-GGA) results for crystalline ZnCuBiAu at its relaxed geometry.

a = 4.7982 Å, b = 4.7982 Å, c = 4.7982 Å
α = 60.00°, β = 60.00°, γ = 60.00°
Closest atoms and distances in Å follow each position.
Fractional coordinates of all 4 atoms:
Au  0.2500  0.2500  0.2500  4 Zn 2.94, 4 Bi 2.94
Bi  0.0000  0.0000  0.0000  4 Cu 2.94, 4 Au 2.94
Cu  0.7500  0.7500  0.7500  4 Zn 2.94, 4 Bi 2.94
Zn  0.5000  0.5000  0.5000  4 Au 2.94, 4 Cu 2.94


<b>
DFT (PBE-GGA) results for crystalline ZnCuBiAu at its relaxed geometry.

a = 4.7570 Å, b = 4.7570 Å, c = 4.7570 Å
α = 60.00°, β = 60.00°, γ = 60.00°
Closest atoms and distances in Å follow each position.
Fractional coordinates of all 4 atoms:
Au  0.5000  0.5000  0.5000  4 Zn 2.91, 4 Cu 2.91
Bi  0.0000  0.0000  0.0000  4 Cu 2.91, 4 Zn 2.91
Cu  0.7500  0.7500  0.7500  4 Au 2.91, 4 Bi 2.91
Zn  0.2500  0.2500  0.2500  4 Au 2.91, 4 Bi 2.91


Which of them is most stable, and which least? Most stable: <b>; least stable: <a>.